A relaxed SnBAsSe2 crystal, computed with PBE.

Results
DOS at the Fermi energy, states/eV/f.u.: 2.86
Symmetry: P4/mmm
Crystal system: tetragonal
Raw formation energy, eV/atom: 0.490

a = 4.8517 Å, b = 4.8517 Å, c = 4.2001 Å
α = 90.00°, β = 90.00°, γ = 90.00°
Last column: nearest neighbours and their distance in Å.
Atoms (fractional coordinates):
As1 0.0000 0.0000 0.5000  2 B 2.10
B1 0.0000 0.0000 0.0000  2 As 2.10
Sn1 0.5000 0.5000 0.5000  8 Se 3.21, 4 As 3.43
Se1 0.0000 0.5000 0.0000  2 B 2.43
Se2 0.5000 0.0000 0.0000  2 B 2.43